(1)
VASP calculation (PBE) on LuMgSnPb after structural relaxation.

Properties
Energy, eV for the cell shown: -14.66
Energy relative to the elements, eV per formula unit: -0.83
Mass density, g/cm³: 8.39
Symmetry: No. 216
N(E_F), states/eV/atom: 0.49

Cell: 5.2775 5.2775 5.2775 Å, 60.00 60.00 60.00°
Closest atoms and distances in Å follow each position.
Fractional coordinates of all 4 atoms:
Pb: 0.7500 0.7500 0.7500  4 Mg 3.23, 4 Lu 3.23
Mg: 0.0000 0.0000 0.0000  4 Pb 3.23, 4 Sn 3.23
Lu: 0.5000 0.5000 0.5000  4 Sn 3.23, 4 Pb 3.23
Sn: 0.2500 0.2500 0.2500  4 Mg 3.23, 4 Lu 3.23


(2)
VASP calculation (PBE) on La3PbO after structural relaxation.

Properties
Energy, eV for the cell shown: -60.53
Formation energy from raw total energies, eV/f.u.: -6.82
Mass density, g/cm³: 7.55
Symmetry: No. 11
N(E_F), states/eV/atom: 0.95

Cell: 6.0704 6.9386 6.6870 Å, 90.00 87.11 90.00°
Closest atoms and distances in Å follow each position.
Fractional coordinates of all 10 atoms:
Pb: 0.7246 0.2500 0.6459  10 La 3.48-3.86, 1 O 3.60
Pb: 0.2754 0.7500 0.3541  10 La 3.48-3.86, 1 O 3.60
O: 0.0439 0.2500 0.0846  5 La 2.35-2.53
O: 0.9561 0.7500 0.9154  5 La 2.35-2.53
La: 0.7512 0.5017 0.1307  2 O 2.50-2.53
La: 0.2488 0.4983 0.8693  2 O 2.50-2.53
La: 0.7512 0.9983 0.1307  2 O 2.50-2.53
La: 0.2488 0.0017 0.8693  2 O 2.50-2.53
La: 0.2348 0.2500 0.3814  1 O 2.35
La: 0.7652 0.7500 0.6186  1 O 2.35


- The lowest mass density belongs to which entry?
  La3PbO